This record from Alexandria via LeMat-Bulk describes a relaxed BaBi2Rh2Pb crystal. The functional is PBE-GGA.

Geometry as CIF:
```
data_BaBi2Rh2Pb
_chemical_formula_sum 'Ba1 Bi2 Rh2 Pb1'
_cell_length_a 5.103
_cell_length_b 5.103
_cell_length_c 6.858
_cell_angle_alpha 90.00
_cell_angle_beta 90.00
_cell_angle_gamma 90.00
_space_group_name_H-M_alt 'P 4/m m m'
_space_group_IT_number 123
_space_group_name_Hall '-P 4 2'
loop_
_atom_site_label
_atom_site_fract_x
_atom_site_fract_y
_atom_site_fract_z
Ba1 0.000 0.000 0.000
Bi1 0.500 0.500 0.267
Rh1 0.000 0.500 0.500
Pb1 0.000 0.000 0.500
```

The formation energy is -0.848 eV/f.u.

***

This record from Alexandria via LeMat-Bulk describes a relaxed RbCaNb crystal. The functional is PBE-GGA.

Geometry as CIF:
```
data_RbCaNb
_chemical_formula_sum 'Rb4 Ca4 Nb4'
_cell_length_a 9.090
_cell_length_b 3.461
_cell_length_c 15.620
_cell_angle_alpha 90.00
_cell_angle_beta 90.00
_cell_angle_gamma 90.00
_space_group_name_H-M_alt 'P n m a'
_space_group_IT_number 62
loop_
_space_group_symop_operation_xyz
'x,y,z'
'-x,-y,-z'
'-x+1/2,-y,z+1/2'
'x+1/2,y,-z+1/2'
'x+1/2,-y+1/2,-z+1/2'
'-x+1/2,y+1/2,z+1/2'
'-x,y+1/2,-z'
'x,-y+1/2,z'
loop_
_atom_site_label
_atom_site_fract_x
_atom_site_fract_y
_atom_site_fract_z
Rb1 0.158 0.250 0.225
Ca1 0.191 0.250 0.966
Nb1 0.039 0.250 0.557
```

Its energy above the most stable polymorph in this dataset is 0.3562 eV per atom. The formation energy is 2.105 eV/f.u.

***

This record from Alexandria via LeMat-Bulk describes a relaxed Ti4InH2 crystal. The functional is PBE-GGA.

Geometry as CIF:
```
data_Ti4InH2
_chemical_formula_sum 'Ti12 In3 H6'
_cell_length_a 3.0010
_cell_length_b 3.0010
_cell_length_c 35.9724
_cell_angle_alpha 90.00
_cell_angle_beta 90.00
_cell_angle_gamma 120.00
_space_group_name_H-M_alt 'R -3 m'
_space_group_IT_number 166
_space_group_name_Hall '-R 3 2"'
loop_
_atom_site_label
_atom_site_fract_x
_atom_site_fract_y
_atom_site_fract_z
Ti1 0.0000 0.0000 0.1353
Ti2 0.0000 0.0000 0.2654
In1 0.0000 0.0000 0.0000
H1 0.0000 0.0000 0.4330
```

As for the electronic total energy: -126.439 eV per cell.

***

This record from Alexandria via LeMat-Bulk describes a relaxed LiEuAu crystal. The functional is PBE-GGA.

Geometry as CIF:
```
data_LiEuAu
_chemical_formula_sum 'Li1 Eu1 Au1'
_cell_length_a 4.5083
_cell_length_b 4.5083
_cell_length_c 4.1674
_cell_angle_alpha 90.00
_cell_angle_beta 90.00
_cell_angle_gamma 120.00
_space_group_name_H-M_alt 'P -6 m 2'
_space_group_IT_number 187
_space_group_name_Hall 'P -6 2'
loop_
_atom_site_label
_atom_site_fract_x
_atom_site_fract_y
_atom_site_fract_z
Li1 0.0000 0.0000 0.0000
Eu1 0.6667 0.3333 0.5000
Au1 0.3333 0.6667 0.0000
```

Its energy above the most stable polymorph in this dataset is 0.0000 eV per atom. The formation energy is -1.624 eV/f.u.

***

This record from Alexandria via LeMat-Bulk describes a relaxed CeAu2I6 crystal. The functional is PBE-GGA.

Geometry as CIF:
```
data_CeAu2I6
_chemical_formula_sum 'Ce3 Au6 I18'
_cell_length_a 7.6636
_cell_length_b 7.6636
_cell_length_c 22.9977
_cell_angle_alpha 90.00
_cell_angle_beta 90.00
_cell_angle_gamma 120.00
_space_group_name_H-M_alt 'R 3'
_space_group_IT_number 146
_space_group_name_Hall 'R 3'
loop_
_atom_site_label
_atom_site_fract_x
_atom_site_fract_y
_atom_site_fract_z
Ce1 0.0000 0.0000 0.0000
Au1 0.0000 0.0000 0.6016
Au2 0.0000 0.0000 0.7322
I1 0.0083 0.6510 0.7478
I2 0.0090 0.3574 0.5854
```

Its energy above the most stable polymorph in this dataset is 0.0191 eV per atom. Its uncorrected formation energy is -0.62 eV per atom.

***

This record from Alexandria via LeMat-Bulk describes a relaxed CaPr12Nd5 crystal. The functional is PBE-GGA.

Geometry as CIF:
```
data_CaPr12Nd5
_chemical_formula_sum 'Ca2 Pr24 Nd10'
_cell_length_a 19.299
_cell_length_b 11.153
_cell_length_c 6.434
_cell_angle_alpha 90.00
_cell_angle_beta 109.37
_cell_angle_gamma 90.00
_space_group_name_H-M_alt 'C 1 2/m 1'
_space_group_IT_number 12
loop_
_space_group_symop_operation_xyz
'x,y,z'
'-x,-y,-z'
'-x,y,-z'
'x,-y,z'
'x+1/2,y+1/2,z'
'-x+1/2,-y+1/2,-z'
'-x+1/2,y+1/2,-z'
'x+1/2,-y+1/2,z'
loop_
_atom_site_label
_atom_site_fract_x
_atom_site_fract_y
_atom_site_fract_z
Ca1 0.000 0.000 0.000
Pr1 0.000 0.171 0.500
Pr2 0.000 0.338 0.000
Pr3 0.166 0.333 0.499
Pr4 0.169 0.169 0.000
Nd1 0.000 0.500 0.500
Nd2 0.167 0.500 0.997
Nd3 0.169 0.000 0.509
```

The formation energy is 0.351 eV/f.u.

***

This record from Alexandria via LeMat-Bulk describes a relaxed Mg2MnBiSe crystal. The functional is PBE-GGA.

Geometry as CIF:
```
data_Mg2MnBiSe
_chemical_formula_sum 'Mg2 Mn1 Bi1 Se1'
_cell_length_a 4.950
_cell_length_b 4.950
_cell_length_c 5.880
_cell_angle_alpha 90.00
_cell_angle_beta 90.00
_cell_angle_gamma 90.00
_space_group_name_H-M_alt 'P 4/m m m'
_space_group_IT_number 123
_space_group_name_Hall '-P 4 2'
loop_
_atom_site_label
_atom_site_fract_x
_atom_site_fract_y
_atom_site_fract_z
Mg1 0.000 0.500 0.000
Mn1 0.000 0.000 0.500
Bi1 0.500 0.500 0.500
Se1 0.500 0.500 0.000
```

Its uncorrected formation energy is 0.39 eV per atom.

***

This record from Alexandria via LeMat-Bulk describes a relaxed SbH3Os crystal. The functional is PBE-GGA.

Geometry as CIF:
```
data_SbH3Os
_chemical_formula_sum 'Sb1 H3 Os1'
_cell_length_a 3.674
_cell_length_b 3.674
_cell_length_c 3.674
_cell_angle_alpha 90.00
_cell_angle_beta 90.00
_cell_angle_gamma 90.00
_space_group_name_H-M_alt 'P m -3 m'
_space_group_IT_number 221
_space_group_name_Hall '-P 4 2 3'
loop_
_atom_site_label
_atom_site_fract_x
_atom_site_fract_y
_atom_site_fract_z
Sb1 0.000 0.000 0.000
H1 0.000 0.500 0.500
Os1 0.500 0.500 0.500
```

Its energy above the most stable polymorph in this dataset is 0.0000 eV per atom.

***

| no. | spin magnetization (μB/f.u.) |
| --- | --- |
| 1 | 0.0 |
| 2 | 0.0 |
| 3 | 0.0 |
| 4 | 7.1 |
| 5 | 0.1 |
| 6 | 0.0 |
| 7 | 4.6 |
| 8 | 0.0 |